! HfIrRh3 | the Alexandria database | PBE-GGA | optimized geometry; values from VASP
! M_tot = 0.0 μB per formula unit
! ΔE_f = -237 meV/atom
! energy relative to the lowest polymorph listed for this composition = 0.000 eV per atom
&SYSTEM
  ibrav = 0, nat = 10, ntyp = 3
/
ATOMIC_SPECIES
Rh 102.91 Rh.upf
Hf 178.49 Hf.upf
Ir 192.22 Ir.upf
ATOMIC_POSITIONS angstrom
Rh 2.010 6.192 1.096
Rh -0.839 -1.624 3.101
Hf 2.383 3.809 3.101
Rh -1.623 3.594 0.883
Hf -1.212 0.759 1.096
Ir 2.309 3.893 0.000
Ir 1.322 -0.784 2.005
Rh -3.297 -0.676 3.501
Rh 1.472 1.759 1.309
Rh -0.301 2.810 2.888
CELL_PARAMETERS angstrom
6.091 1.650 -0.187
-1.473 6.136 0.187
-3.447 -3.218 4.197

=====

! PuZrAl2 | the Alexandria database | PBE-GGA | optimized geometry; values from VASP
! M_tot = 5.3 μB per formula unit
! ΔE_f = -318 meV/atom
! energy relative to the lowest polymorph listed for this composition = 0.000 eV per atom
&SYSTEM
  ibrav = 0, nat = 4, ntyp = 3
/
ATOMIC_SPECIES
Zr 91.22 Zr.upf
Pu 244.00 Pu.upf
Al 26.98 Al.upf
ATOMIC_POSITIONS angstrom
Zr -1.548 -0.352 -1.454
Pu -3.974 -2.333 1.610
Al -1.149 -0.938 1.451
Al -3.704 -3.023 4.677
CELL_PARAMETERS angstrom
-2.451 1.535 -0.949
-0.644 -2.240 -1.958
-4.853 -3.962 6.128

=====

! K3InHg4 | the Alexandria database | PBE-GGA | optimized geometry; values from VASP
! M_tot = 0.0 μB per formula unit
! ΔE_f = -163 meV/atom
! energy relative to the lowest polymorph listed for this composition = 0.023 eV per atom
&SYSTEM
  ibrav = 0, nat = 8, ntyp = 3
/
ATOMIC_SPECIES
Hg 200.59 Hg.upf
K 39.10 K.upf
In 114.82 In.upf
ATOMIC_POSITIONS angstrom
Hg -1.112 3.304 1.186
Hg -1.871 2.249 -1.624
Hg -2.577 -0.829 4.368
K -1.338 6.123 -0.869
In -1.308 1.744 3.686
K -3.868 0.784 0.963
Hg -2.109 4.561 4.074
K -1.220 8.833 -4.264
CELL_PARAMETERS angstrom
-2.433 2.287 -6.732
-3.721 -3.838 5.281
1.137 7.094 2.203

=====

! KCdSbTe2 | the Alexandria database | PBE-GGA | optimized geometry; values from VASP
! formation energy (no corrections) = 29.6 meV/atom
! M_tot = 0.0 μB per formula unit
! energy relative to the lowest polymorph listed for this composition = 0.000 eV per atom
&SYSTEM
  ibrav = 0, nat = 5, ntyp = 4
/
ATOMIC_SPECIES
Sb 121.76 Sb.upf
Cd 112.41 Cd.upf
Te 127.60 Te.upf
K 39.10 K.upf
ATOMIC_POSITIONS angstrom
Sb -1.591 -0.840 2.075
Cd 0.000 0.000 0.000
Te -2.163 1.725 -0.961
K -4.764 -1.306 -0.546
Te -1.010 -2.191 -1.661
CELL_PARAMETERS angstrom
-4.327 3.450 -1.922
-2.019 -4.382 -3.321
-3.183 -1.679 4.151